ReP2CCl | PBE | relaxed

a = 3.924 Å, b = 3.924 Å, c = 4.158 Å
α = 90.00°, β = 90.00°, γ = 90.00°
Positions (direct):
Re (0.500, 0.500, 0.500)
P (0.000, 0.500, 0.000)
P (0.500, 0.000, 0.000)
C (0.000, 0.000, 0.000)
Cl (0.000, 0.000, 0.500)

## Properties
Volume (Å³ per atom): 12.81
D(E_F) (states/eV/f.u.): 3.1
Raw formation energy (kJ/mol of atoms): 146
Relative energy among the computed polymorphs (eV per atom): 0.000
M_tot (Bohr magnetons per cell): 0.0